# 1
Material: TiCu2C
Method: DFT, GGA-PBE
State: relaxed

Values from the calculation:
**Space-group type**: I-42d (122)
**Density of states at the Fermi level**: 0.38 states/eV per atom
**E_form**: 0.3674 eV per atom
**E_tot**: -5.960 eV per atom

a = 3.183 Å, b = 3.183 Å, c = 9.707 Å
α = 80.56°, β = 80.56°, γ = 90.00°
Fractional coordinates of all 8 atoms:
C: 0.500 0.500 0.000
C: 0.250 0.750 0.500
Cu: 0.132 0.625 0.250
Cu: 0.618 0.125 0.250
Cu: 0.375 0.382 0.750
Cu: 0.875 0.868 0.750
Ti: 0.000 0.000 0.000
Ti: 0.750 0.250 0.500

---

# 2
Material: Ti6Cu2C
Method: DFT, GGA-PBE
State: relaxed

Values from the calculation:
**Space-group type**: Amm2 (38)
**Density of states at the Fermi level**: 1.30 states/eV per atom
**E_form**: -0.1450 eV per atom
**E_tot**: -7.343 eV per atom

a = 3.073 Å, b = 7.001 Å, c = 6.967 Å
α = 120.16°, β = 90.00°, γ = 90.00°
Fractional coordinates of all 9 atoms:
Ti: 0.000 0.997 0.228
Ti: 0.000 0.769 0.772
Ti: 0.500 0.588 0.000
Ti: 0.500 0.005 0.611
Ti: 0.000 0.232 0.000
Ti: 0.500 0.394 0.389
Cu: 0.000 0.334 0.661
Cu: 0.000 0.672 0.339
C: 0.500 0.010 0.000

---

# 3
Material: Ti6CuC
Method: DFT, GGA-PBE
State: relaxed

Values from the calculation:
**Space-group type**: P-1 (2)
**Density of states at the Fermi level**: 1.09 states/eV per atom
**E_form**: -0.1527 eV per atom
**E_tot**: -7.739 eV per atom

a = 4.906 Å, b = 5.173 Å, c = 5.171 Å
α = 80.52°, β = 96.36°, γ = 75.07°
Fractional coordinates of all 8 atoms:
Ti: 0.766 0.946 0.663
Ti: 0.071 0.341 0.773
Ti: 0.349 0.755 0.890
Ti: 0.234 0.054 0.337
Ti: 0.651 0.245 0.110
Ti: 0.929 0.659 0.227
Cu: 0.500 0.500 0.500
C: 0.000 0.000 0.000

---

# 4
Material: Ti4Cu2C
Method: DFT, GGA-PBE
State: relaxed

Values from the calculation:
**Space-group type**: I4/mmm (139)
**Density of states at the Fermi level**: 0.32 states/eV per atom
**E_form**: -0.1522 eV per atom
**E_tot**: -7.152 eV per atom

a = 4.139 Å, b = 4.139 Å, c = 6.764 Å
α = 72.18°, β = 72.18°, γ = 90.00°
Fractional coordinates of all 7 atoms:
Cu: 0.373 0.373 0.255
Cu: 0.627 0.627 0.745
Ti: 0.176 0.176 0.649
Ti: 0.500 0.000 0.000
Ti: 0.824 0.824 0.351
Ti: 0.000 0.500 0.000
C: 0.000 0.000 0.000

---

# 5
Material: Ti2CuC
Method: DFT, GGA-PBE
State: relaxed

Values from the calculation:
**Space-group type**: R-3m (166)
**Density of states at the Fermi level**: 1.12 states/eV per atom
**E_form**: -0.4219 eV per atom
**E_tot**: -7.699 eV per atom

a = 3.042 Å, b = 3.042 Å, c = 6.747 Å
α = 76.97°, β = 76.97°, γ = 60.00°
Fractional coordinates of all 4 atoms:
C: 0.500 0.500 0.500
Ti: 0.227 0.227 0.318
Ti: 0.773 0.773 0.682
Cu: 0.000 0.000 0.000

---

# 6
Material: Ti3Cu3C
Method: DFT, GGA-PBE
State: relaxed

Values from the calculation:
**Space-group type**: Fd-3m (227)
**Density of states at the Fermi level**: 0.88 states/eV per atom
**E_form**: -0.3424 eV per atom
**E_tot**: -6.799 eV per atom

a = 7.996 Å, b = 7.996 Å, c = 7.996 Å
α = 60.00°, β = 60.00°, γ = 60.00°
Fractional coordinates of all 28 atoms:
Ti: 0.440 0.060 0.440
Ti: 0.440 0.440 0.060
Ti: 0.440 0.060 0.060
Ti: 0.810 0.190 0.190
Ti: 0.190 0.810 0.190
Ti: 0.810 0.190 0.810
Ti: 0.060 0.440 0.440
Ti: 0.810 0.810 0.190
Ti: 0.060 0.060 0.440
Ti: 0.060 0.440 0.060
Ti: 0.190 0.810 0.810
Ti: 0.190 0.190 0.810
Cu: 0.625 0.125 0.625
Cu: 0.750 0.417 0.417
Cu: 0.625 0.625 0.625
Cu: 0.417 0.417 0.417
Cu: 0.500 0.833 0.833
Cu: 0.125 0.625 0.625
Cu: 0.833 0.833 0.500
Cu: 0.625 0.625 0.125
Cu: 0.833 0.500 0.833
Cu: 0.833 0.833 0.833
Cu: 0.417 0.417 0.750
Cu: 0.417 0.750 0.417
C: 0.125 0.125 0.625
C: 0.625 0.125 0.125
C: 0.125 0.625 0.125
C: 0.125 0.125 0.125

---

# 7
Material: Ti2CuC
Method: DFT, GGA-PBE
State: relaxed

Values from the calculation:
**Space-group type**: I-42d (122)
**Density of states at the Fermi level**: 2.33 states/eV per atom
**E_form**: 0.0939 eV per atom
**E_tot**: -7.184 eV per atom

a = 6.049 Å, b = 6.049 Å, c = 5.244 Å
α = 54.78°, β = 54.78°, γ = 90.00°
Fractional coordinates of all 8 atoms:
C: 0.500 0.500 0.000
C: 0.250 0.750 0.500
Ti: 0.564 0.125 0.250
Ti: 0.875 0.814 0.750
Ti: 0.186 0.625 0.250
Ti: 0.375 0.436 0.750
Cu: 0.750 0.250 0.500
Cu: 0.000 0.000 0.000

---

# 8
Material: Ti4Cu2C
Method: DFT, GGA-PBE
State: relaxed

Values from the calculation:
**Space-group type**: Fd-3m (227)
**Density of states at the Fermi level**: 1.06 states/eV per atom
**E_form**: -0.3209 eV per atom
**E_tot**: -7.320 eV per atom

a = 8.167 Å, b = 8.167 Å, c = 8.167 Å
α = 60.00°, β = 60.00°, γ = 60.00°
Last column: magnetic moment on the atom in μB.
Fractional coordinates of all 28 atoms:
Cu: 0.833 0.833 0.833  0.03
Cu: 0.833 0.502 0.833  0.03
Cu: 0.502 0.833 0.833  0.03
Cu: 0.417 0.417 0.417  0.03
Cu: 0.417 0.417 0.748  0.03
Cu: 0.833 0.833 0.502  0.03
Cu: 0.748 0.417 0.417  0.03
Cu: 0.417 0.748 0.417  0.03
Ti: 0.625 0.125 0.625  0.04
Ti: 0.431 0.431 0.069  0.19
Ti: 0.181 0.819 0.819  0.19
Ti: 0.069 0.069 0.431  0.19
Ti: 0.125 0.625 0.625  0.04
Ti: 0.181 0.181 0.819  0.19
Ti: 0.431 0.069 0.431  0.19
Ti: 0.069 0.431 0.431  0.19
Ti: 0.625 0.625 0.125  0.04
Ti: 0.625 0.625 0.625  0.04
Ti: 0.819 0.181 0.181  0.19
Ti: 0.181 0.819 0.181  0.19
Ti: 0.069 0.431 0.069  0.19
Ti: 0.819 0.819 0.181  0.19
Ti: 0.819 0.181 0.819  0.19
Ti: 0.431 0.069 0.069  0.19
C: 0.125 0.625 0.125  -0.02
C: 0.125 0.125 0.125  -0.02
C: 0.625 0.125 0.125  -0.02
C: 0.125 0.125 0.625  -0.02